1.
First-principles (PBE-GGA) data for a geometry-optimized Hg3IrI structure, as listed in Alexandria.

Cell: 5.318 5.318 5.318 Å, 90.00 90.00 90.00°
Element x y z (fractional)
Hg 0.000 0.000 0.500
Hg 0.000 0.500 0.000
Ir 0.000 0.000 0.000
I 0.500 0.500 0.500
Hg 0.500 0.000 0.000

2.
First-principles (PBE-GGA) data for a geometry-optimized HgIr3I structure, as listed in Alexandria.

Cell: 4.872 4.872 4.872 Å, 90.00 90.00 90.00°
Element x y z (fractional)
Ir 0.000 0.500 0.000
Hg 0.500 0.500 0.500
I 0.000 0.000 0.000
Ir 0.500 0.000 0.000
Ir 0.000 0.000 0.500

3.
First-principles (PBE-GGA) data for a geometry-optimized HgIrI2 structure, as listed in Alexandria.

Cell: 9.475 9.475 7.237 Å, 49.11 49.11 90.00°
Element x y z (fractional)
Ir 0.250 0.750 0.500
Ir 0.500 0.500 0.000
I 0.875 0.740 0.750
I 0.260 0.625 0.250
Hg 0.000 0.000 0.000
I 0.490 0.125 0.250
I 0.375 0.510 0.750
Hg 0.750 0.250 0.500

4.
First-principles (PBE-GGA) data for a geometry-optimized Hg3IrI9 structure, as listed in Alexandria.

Cell: 10.593 10.970 12.201 Å, 74.97 64.27 61.13°
Element x y z (fractional)
I 0.503 0.862 0.718
I 0.519 0.469 0.202
I 0.237 0.907 0.136
Hg 0.025 0.922 0.814
Hg 0.902 0.109 0.209
I 0.069 0.600 0.511
I 0.720 0.407 0.636
I 0.931 0.420 0.877
Hg 0.239 0.422 0.314
Hg 0.780 0.609 0.709
I 0.450 0.239 0.549
Ir 0.466 0.002 0.506
Ir 0.026 0.502 0.006
I 0.295 0.264 0.966
I 0.809 0.969 0.702
Hg 0.551 0.238 0.743
I 0.160 0.099 0.636
Hg 0.468 0.738 0.243
I 0.821 0.100 0.011
I 0.761 0.739 0.049
I 0.475 0.764 0.466
I 0.106 0.599 0.136
I 0.917 0.362 0.218
I 0.771 0.920 0.377
I 0.391 0.126 0.309
I 0.174 0.626 0.809

5.
First-principles (PBE-GGA) data for a geometry-optimized HgIrI2 structure, as listed in Alexandria.

Cell: 5.267 5.267 5.267 Å, 60.00 60.00 60.00°
Element x y z (fractional)
Ir 0.000 0.000 0.000
Hg 0.500 0.500 0.500
I 0.250 0.250 0.250
I 0.750 0.750 0.750

6.
First-principles (PBE-GGA) data for a geometry-optimized La8HgIr3I4 structure, as listed in Alexandria.

Cell: 8.686 9.635 8.687 Å, 116.81 120.00 90.00°
Element x y z (fractional)
La 0.730 0.689 0.460
La 0.241 0.688 0.947
I 0.500 0.000 0.000
I 0.000 0.000 0.500
La 0.706 0.688 0.947
La 0.270 0.311 0.540
Ir 0.500 0.500 0.000
La 0.759 0.312 0.518
Ir 0.500 0.500 0.500
I 0.500 0.000 0.500
Hg 0.000 0.500 0.000
Ir 0.000 0.500 0.500
La 0.759 0.312 0.053
La 0.241 0.688 0.482
La 0.294 0.312 0.053
I 0.000 0.000 0.000

7.
First-principles (PBE-GGA) data for a geometry-optimized La4HgIrI2 structure, as listed in Alexandria.

Cell: 4.319 7.815 8.588 Å, 106.88 90.00 90.00°
Element x y z (fractional)
La 0.000 0.282 0.808
Hg 0.000 0.000 0.000
I 0.000 0.500 0.500
La 0.000 0.718 0.192
La 0.500 0.276 0.201
Ir 0.500 0.500 0.000
I 0.500 0.000 0.500
La 0.500 0.724 0.799

8.
First-principles (PBE-GGA) data for a geometry-optimized La6HgIr2I3 structure, as listed in Alexandria.

Cell: 7.549 7.549 8.618 Å, 98.43 98.43 119.98°
Element x y z (fractional)
La 0.427 0.064 0.193
Ir 0.667 0.333 0.000
La 0.573 0.936 0.807
Ir 0.333 0.667 0.000
La 0.702 0.702 0.191
I 0.838 0.162 0.500
I 0.162 0.838 0.500
La 0.064 0.427 0.193
La 0.298 0.298 0.809
Hg 0.000 0.000 0.000
I 0.500 0.500 0.500
La 0.936 0.573 0.807

9.
First-principles (PBE-GGA) data for a geometry-optimized HgIrIN2 structure, as listed in Alexandria.

Cell: 4.011 4.011 7.447 Å, 90.00 90.00 90.00°
Element x y z (fractional)
Hg 0.000 0.000 0.000
N 0.500 0.000 0.000
I 0.000 0.000 0.500
N 0.000 0.500 0.000
Ir 0.500 0.500 0.500

10.
First-principles (PBE-GGA) data for a geometry-optimized HgIrIN2 structure, as listed in Alexandria.

Cell: 3.895 3.895 8.036 Å, 90.00 90.00 90.00°
Element x y z (fractional)
N 0.000 0.500 0.000
N 0.500 0.000 0.000
Ir 0.000 0.000 0.000
I 0.000 0.000 0.500
Hg 0.500 0.500 0.500

11.
First-principles (PBE-GGA) data for a geometry-optimized HgIrIO2 structure, as listed in Alexandria.

Cell: 3.906 3.906 7.933 Å, 90.00 90.00 90.00°
Element x y z (fractional)
Ir 0.000 0.000 0.000
I 0.000 0.000 0.500
Hg 0.500 0.500 0.500
O 0.000 0.500 0.000
O 0.500 0.000 0.000

12.
First-principles (PBE-GGA) data for a geometry-optimized HgIrIO2 structure, as listed in Alexandria.

Cell: 4.047 4.047 7.072 Å, 90.00 90.00 90.00°
Element x y z (fractional)
Hg 0.000 0.000 0.000
Ir 0.500 0.500 0.500
O 0.500 0.000 0.000
O 0.000 0.500 0.000
I 0.000 0.000 0.500

Here are the calculated E_form (uncorrected) numbers, same order: 0.3275, 1.9228, 0.2030, -0.1541, 1.0223, -1.0000, -0.9010, -0.9820, 2.5464, 0.9312, -0.0650, 1.0651 (eV per atom).
Here are the calculated total DFT energy (no corrections) numbers, same order: -1.94, -3.76, -2.86, -1.98, -2.04, -5.53, -4.90, -5.34, -2.93, -4.54, -4.19, -3.06 (eV/atom).